Density functional theory data (PBE) for a relaxed structure of LaCdSn.

Geometry as POSCAR:
```
LaCdSn
1.0
4.326 0.000 0.000
0.000 4.813 0.000
0.000 -2.406 4.168
Sn Cd La
1 1 1
Direct
0.234 0.333 0.667 Sn
0.099 0.000 0.000 Cd
0.667 0.667 0.333 La
```

Calculated total energy: -11.49 eV per cell
Crystal system: trigonal
D(E_F): 1.767 states/eV per cell
Energy relative to the elements: -0.549 eV per atom

Density functional theory data (PBE) for a relaxed structure of La4CdSn2.

Geometry as POSCAR:
```
La4CdSn2
1.0
-3.792 2.719 -3.166
-3.944 -0.934 3.920
-1.785 8.290 4.236
La Sn Cd
4 2 1
Direct
0.814 0.814 0.371 La
0.000 0.500 0.000 La
0.500 0.000 0.000 La
0.186 0.186 0.629 La
0.628 0.628 0.744 Sn
0.372 0.372 0.256 Sn
0.000 0.000 0.000 Cd
```

Calculated total energy: -29.32 eV per cell
Crystal system: tetragonal
D(E_F): 9.304 states/eV per cell
Energy above the most stable polymorph in this dataset: 437 meV/atom
Energy relative to the elements: -0.098 eV per atom

Density functional theory data (PBE) for a relaxed structure of La6CdSn.

Geometry as POSCAR:
```
La6CdSn
1.0
-1.365 -2.785 -4.000
1.553 -4.186 2.385
-9.170 -1.160 3.936
La Sn Cd
6 1 1
Direct
0.500 0.500 0.000 La
0.000 0.500 0.746 La
0.500 0.000 0.254 La
0.000 0.500 0.254 La
0.500 0.000 0.746 La
0.500 0.500 0.500 La
0.000 0.000 0.500 Sn
0.000 0.000 0.000 Cd
```

Calculated total energy: -36.99 eV per cell
Crystal system: tetragonal
D(E_F): 11.564 states/eV per cell
Energy relative to the elements: -0.313 eV per atom